Crystalline TbSm3Dy6Tm2 at its relaxed geometry, computed with GGA-PBE.

The structure in POSCAR format:
```
TbSm3Dy6Tm2
1.0
6.1569 0.0012 0.0061
-3.0759 5.3335 0.0061
-1.0337 -1.7899 11.5904
Sm Tm Tb Dy
3 2 1 6
Cartesian
-2.0524 3.5489 5.8013
1.0236 1.7724 5.8013
4.0996 -0.0041 5.8013
0.0012 3.5564 0.0061
3.0798 1.7783 0.0061
0.0000 0.0000 0.0000
2.0521 3.5533 2.8696
-0.0049 -0.0085 8.7331
3.0742 1.7660 8.7387
2.0540 -0.0005 2.8640
-0.0067 3.5453 8.7387
-1.0269 1.7788 2.8640
```

Total magnetization: 0.000 μB/f.u.
E_form: 1.71 kJ per mole of atoms